(1)
A geometry-optimized Rb3VH structure, computed with PBE. Values from VASP.

Summary:
As for the space group: Pm-3m, No. 221. The value obtained for the calculated total energy is -2.4115 eV per atom. Its density of states at the Fermi level is 6.392 states/eV/cell. The energy above the lowest structure with this stoichiometry is 0 meV/atom.

Geometry as Quantum ESPRESSO input:
```
&SYSTEM
  ibrav = 0, nat = 5, ntyp = 3
/
ATOMIC_SPECIES
H 1.01 H.upf
Rb 85.47 Rb.upf
V 50.94 V.upf
ATOMIC_POSITIONS angstrom
H 0.0000 0.0000 0.0000
Rb 0.0000 2.9562 0.0000
Rb 0.0000 0.0000 2.9562
Rb 2.9562 0.0000 0.0000
V 2.9562 2.9562 2.9562
CELL_PARAMETERS angstrom
5.9124 0.0000 0.0000
0.0000 5.9124 0.0000
0.0000 0.0000 5.9124
```

***

(2)
A geometry-optimized RbV2H structure, computed with PBE. Values from VASP.

Summary:
As for the space group: Fm-3m, No. 225. The value obtained for the calculated total energy is -3.5224 eV per atom. Its density of states at the Fermi level is 9.638 states/eV/cell. The energy above the lowest structure with this stoichiometry is 1089 meV/atom.

Geometry as Quantum ESPRESSO input:
```
&SYSTEM
  ibrav = 0, nat = 4, ntyp = 3
/
ATOMIC_SPECIES
H 1.01 H.upf
Rb 85.47 Rb.upf
V 50.94 V.upf
ATOMIC_POSITIONS angstrom
H 0.0000 0.0000 0.0000
Rb -2.6102 -1.4917 -5.4541
V -1.3051 -0.7459 -2.7270
V -3.9153 -2.2376 -8.1811
CELL_PARAMETERS angstrom
-2.1350 -3.7470 -2.6943
-3.8257 1.0230 -3.1898
0.7402 -0.2595 -5.0241
```

***

(3)
A geometry-optimized Rb2HW structure, computed with PBE. Values from VASP.

Summary:
As for the space group: I-42d, No. 122. The value obtained for the calculated total energy is -3.2893 eV per atom. Its density of states at the Fermi level is 5.919 states/eV/cell. The energy above the lowest structure with this stoichiometry is 0 meV/atom.

Geometry as Quantum ESPRESSO input:
```
&SYSTEM
  ibrav = 0, nat = 8, ntyp = 3
/
ATOMIC_SPECIES
H 1.01 H.upf
Rb 85.47 Rb.upf
W 183.84 W.upf
ATOMIC_POSITIONS angstrom
H 6.3677 6.3677 0.0000
H 6.3677 12.7354 0.9424
Rb 7.1860 3.1839 0.4712
Rb 5.5495 9.5516 0.4712
Rb 9.5516 11.9172 1.4136
Rb 15.9193 13.5537 1.4136
W 0.0000 0.0000 0.0000
W 12.7354 6.3677 0.9424
CELL_PARAMETERS angstrom
12.7354 0.0000 0.0000
0.0000 12.7354 0.0000
6.3677 6.3677 1.8848
```

***

(4)
A geometry-optimized RbH2W structure, computed with PBE. Values from VASP.

Summary:
As for the space group: Fm-3m, No. 225. The value obtained for the calculated total energy is -3.3167 eV per atom. Its density of states at the Fermi level is 0.890 states/eV/cell. The energy above the lowest structure with this stoichiometry is 986 meV/atom.

Geometry as Quantum ESPRESSO input:
```
&SYSTEM
  ibrav = 0, nat = 4, ntyp = 3
/
ATOMIC_SPECIES
H 1.01 H.upf
Rb 85.47 Rb.upf
W 183.84 W.upf
ATOMIC_POSITIONS angstrom
H -0.9994 -1.4979 -2.1949
H -2.9982 -4.4936 -6.5846
Rb 0.0000 0.0000 0.0000
W -1.9988 -2.9957 -4.3897
CELL_PARAMETERS angstrom
-0.5759 -4.2652 -1.7232
-3.7792 -1.0029 -2.4910
0.3575 -0.7234 -4.5653
```

***

(5)
A geometry-optimized RbH3W structure, computed with PBE. Values from VASP.

Summary:
As for the space group: Pm-3m, No. 221. The value obtained for the calculated total energy is -4.2088 eV per atom. Its density of states at the Fermi level is 1.257 states/eV/cell. The energy above the lowest structure with this stoichiometry is 0 meV/atom.

Geometry as Quantum ESPRESSO input:
```
&SYSTEM
  ibrav = 0, nat = 5, ntyp = 3
/
ATOMIC_SPECIES
H 1.01 H.upf
Rb 85.47 Rb.upf
W 183.84 W.upf
ATOMIC_POSITIONS angstrom
H 0.0000 2.0117 0.0000
H 0.0000 0.0000 2.0117
H 2.0117 0.0000 0.0000
Rb 2.0117 2.0117 2.0117
W 0.0000 0.0000 0.0000
CELL_PARAMETERS angstrom
4.0233 0.0000 0.0000
0.0000 4.0233 0.0000
0.0000 0.0000 4.0233
```

***

(6)
A geometry-optimized Rb2HW structure, computed with PBE. Values from VASP.

Summary:
As for the space group: Fm-3m, No. 225. The value obtained for the calculated total energy is -2.8677 eV per atom. Its density of states at the Fermi level is 0.028 states/eV/cell. The energy above the lowest structure with this stoichiometry is 422 meV/atom.

Geometry as Quantum ESPRESSO input:
```
&SYSTEM
  ibrav = 0, nat = 4, ntyp = 3
/
ATOMIC_SPECIES
H 1.01 H.upf
Rb 85.47 Rb.upf
W 183.84 W.upf
ATOMIC_POSITIONS angstrom
H 0.0000 0.0000 0.0000
Rb -3.1423 -1.9166 0.1706
Rb -9.4269 -5.7498 0.5118
W -6.2846 -3.8332 0.3412
CELL_PARAMETERS angstrom
-4.9950 -0.9697 3.2116
-5.1950 -1.1767 -2.7985
-2.3793 -5.5200 0.2693
```

***

(7)
A geometry-optimized RbH2W structure, computed with PBE. Values from VASP.

Summary:
As for the space group: I-42d, No. 122. The value obtained for the calculated total energy is -4.3027 eV per atom. Its density of states at the Fermi level is 7.217 states/eV/cell. The energy above the lowest structure with this stoichiometry is 0 meV/atom.

Geometry as Quantum ESPRESSO input:
```
&SYSTEM
  ibrav = 0, nat = 8, ntyp = 3
/
ATOMIC_SPECIES
H 1.01 H.upf
Rb 85.47 Rb.upf
W 183.84 W.upf
ATOMIC_POSITIONS angstrom
H 0.4099 4.2646 2.8327
H 1.4065 -0.4397 4.1008
H 2.6730 3.3393 4.4586
H 2.8296 4.6639 9.2496
Rb -0.0268 1.7358 3.5462
Rb 2.2300 1.2219 6.0128
W 0.0000 0.0000 0.0000
W 1.4295 4.6921 4.3081
CELL_PARAMETERS angstrom
-0.8273 5.2060 1.8415
0.7737 -1.7344 5.2508
3.7131 2.4425 3.2285
```

***

(8)
A geometry-optimized Rb3H7W structure, computed with PBE. Values from VASP.

Summary:
As for the space group: Cm, No. 8. The value obtained for the calculated total energy is -3.6845 eV per atom.

Geometry as Quantum ESPRESSO input:
```
&SYSTEM
  ibrav = 0, nat = 11, ntyp = 3
/
ATOMIC_SPECIES
Rb 85.47 Rb.upf
H 1.01 H.upf
W 183.84 W.upf
ATOMIC_POSITIONS angstrom
Rb 3.9992 1.4492 6.1670
Rb 1.9822 2.5050 3.1015
Rb 0.4910 4.2252 6.1670
H 0.7433 0.9393 1.1436
H 3.9887 0.6305 3.3470
H 0.0759 1.7421 5.1630
H -0.3033 4.0268 3.3470
H 3.5038 4.4279 7.3759
H 1.6780 0.4743 5.1630
H 3.3737 4.2635 4.7717
W 4.2437 5.3630 6.0015
CELL_PARAMETERS angstrom
5.6935 -0.0076 3.0381
-1.3163 5.5392 3.0381
0.4133 0.5223 6.3410
```

***

(9)
A geometry-optimized RbH3W structure, computed with PBE. Values from VASP.

Summary:
As for the space group: Pm-3m, No. 221. The value obtained for the calculated total energy is -2.6296 eV per atom. Its density of states at the Fermi level is 3.462 states/eV/cell. The energy above the lowest structure with this stoichiometry is 1579 meV/atom.

Geometry as Quantum ESPRESSO input:
```
&SYSTEM
  ibrav = 0, nat = 5, ntyp = 3
/
ATOMIC_SPECIES
H 1.01 H.upf
Rb 85.47 Rb.upf
W 183.84 W.upf
ATOMIC_POSITIONS angstrom
H 0.0000 2.2648 0.0000
H 0.0000 0.0000 2.2648
H 2.2648 0.0000 0.0000
Rb 0.0000 0.0000 0.0000
W 2.2648 2.2648 2.2648
CELL_PARAMETERS angstrom
4.5297 0.0000 0.0000
0.0000 4.5297 0.0000
0.0000 0.0000 4.5297
```

***

(10)
A geometry-optimized RbY3H structure, computed with PBE. Values from VASP.

Summary:
As for the space group: Pm-3m, No. 221. The value obtained for the calculated total energy is -2.8270 eV per atom. Its density of states at the Fermi level is 6.514 states/eV/cell.

Geometry as Quantum ESPRESSO input:
```
&SYSTEM
  ibrav = 0, nat = 5, ntyp = 3
/
ATOMIC_SPECIES
Y 88.91 Y.upf
H 1.01 H.upf
Rb 85.47 Rb.upf
ATOMIC_POSITIONS angstrom
Y 0.0000 2.8148 0.0000
Y 0.0000 0.0000 2.8148
Y 2.8148 0.0000 0.0000
H 2.8148 2.8148 2.8148
Rb 0.0000 0.0000 0.0000
CELL_PARAMETERS angstrom
5.6295 0.0000 0.0000
0.0000 5.6295 0.0000
0.0000 0.0000 5.6295
```

***

no.,theoretical density (Mg/m³)
1,2.48
2,3.36
3,3.87
4,6.39
5,6.94
6,3.84
7,7.57
8,4.08
9,4.87
10,3.29